(1)
VASP calculation (PBE) on crystalline AcGaGe at its relaxed geometry.

## Properties
For the energy relative to the lowest polymorph listed for this composition, the calculation gives 409 meV/atom.

Cell lengths 4.961, 4.961, 4.961 Å; angles 60.00, 60.00, 60.00 degrees
Atoms (fractional coordinates):
Ge 0.000 0.000 0.000
Ga 0.250 0.250 0.250
Ac 0.500 0.500 0.500

=====

(2)
VASP calculation (PBE) on crystalline Ac2GaGe3 at its relaxed geometry.

## Properties
Its total energy is -4.809 eV per atom.

Cell lengths 4.501, 4.402, 7.927 Å; angles 90.00, 90.00, 90.00 degrees
Atoms (fractional coordinates):
Ac 0.000 0.500 0.997
Ac 0.000 0.000 0.505
Ge 0.500 0.000 0.172
Ge 0.500 0.000 0.833
Ge 0.500 0.500 0.659
Ga 0.500 0.500 0.334

=====

(3)
VASP calculation (PBE) on crystalline Ac3Ga2Ge2 at its relaxed geometry.

## Properties
For the energy relative to the lowest polymorph listed for this composition, the calculation gives 0 meV/atom.

Cell lengths 4.287, 4.721, 10.334 Å; angles 103.21, 101.97, 90.00 degrees
Last column: magnetic moment on the atom in μB.
Atoms (fractional coordinates):
Ac 0.000 0.000 0.000  0.01
Ac 0.684 0.184 0.368  0.10
Ac 0.316 0.816 0.632  0.10
Ge 0.141 0.641 0.282  -0.01
Ge 0.859 0.359 0.718  -0.01
Ga 0.564 0.564 0.128  0.01
Ga 0.436 0.436 0.872  0.01

=====

(4)
VASP calculation (PBE) on crystalline AcGaGe at its relaxed geometry.

## Properties
For the energy relative to the lowest polymorph listed for this composition, the calculation gives 0 meV/atom.

Cell lengths 4.796, 4.342, 4.342 Å; angles 120.00, 90.00, 90.00 degrees
Atoms (fractional coordinates):
Ge 0.099 0.000 0.000
Ga 0.240 0.667 0.333
Ac 0.661 0.333 0.667

=====

(5)
VASP calculation (PBE) on crystalline Ac4GaGe5 at its relaxed geometry.

## Properties
Its total energy is -4.655 eV per atom.

Cell lengths 6.654, 7.412, 7.412 Å; angles 78.38, 63.33, 63.33 degrees
Atoms (fractional coordinates):
Ge 0.204 0.830 0.661
Ge 0.757 0.000 0.000
Ge 0.695 0.170 0.339
Ge 0.034 0.661 0.170
Ge 0.865 0.339 0.830
Ac 0.520 0.641 0.220
Ac 0.161 0.220 0.359
Ac 0.381 0.359 0.780
Ac 0.740 0.780 0.641
Ga 0.152 0.000 0.000

=====

(6)
VASP calculation (PBE) on crystalline Ac3Ga2Ge7 at its relaxed geometry.

## Properties
Its total energy is -4.624 eV per atom.

Cell lengths 4.562, 4.836, 13.392 Å; angles 94.91, 90.00, 90.00 degrees
Atoms (fractional coordinates):
Ge 0.500 0.944 0.831
Ge 0.500 0.056 0.169
Ge 0.000 0.320 0.825
Ge 0.000 0.000 0.000
Ge 0.500 0.727 0.454
Ge 0.500 0.273 0.546
Ge 0.000 0.680 0.175
Ac 0.000 0.185 0.364
Ac 0.500 0.500 0.000
Ac 0.000 0.815 0.636
Ga 0.500 0.591 0.265
Ga 0.500 0.409 0.735